ScZnH: relaxed, PBE. Values from VASP.

The structure in Quantum ESPRESSO input format:
```
&SYSTEM
  ibrav = 0, nat = 3, ntyp = 3
/
ATOMIC_SPECIES
H 1.01 H.upf
Sc 44.96 Sc.upf
Zn 65.41 Zn.upf
ATOMIC_POSITIONS angstrom
H 0.818 -1.396 2.302
Sc -1.256 -1.178 2.570
Zn 0.033 -0.057 0.094
CELL_PARAMETERS angstrom
-1.619 1.749 1.636
-2.243 -1.800 -0.295
3.457 -2.580 3.624
```

Electronic total energy in eV/cell: -11.18
Calculated volume in Å³ per cell: 43.9
ΔE to the lowest computed polymorph in kJ/mol of formula units: 115